No. 1
DFT (PBE-GGA) results for a relaxed structure of Co3AuCl.

As for the crystal system: cubic. Its volume is 70 Å³ per cell. Its magnetic moment is 0.60 μB per atom. The energy relative to the elements, uncorrected is 0.694 eV per atom.

The space group is Pm-3m (No. 221) and the conventional cell measures 4.129, 4.129 and 4.129 Å, with angles of 90.00, 90.00 and 90.00 degrees. Symmetry generates all atoms from Co at (0.000, 0.000, 0.500), Au at (0.500, 0.500, 0.500) and Cl at (0.000, 0.000, 0.000).

No. 2
DFT (PBE-GGA) results for a relaxed structure of CoAuCl2.

As for the crystal system: orthorhombic. Its volume is 160 Å³ per cell. Its magnetic moment is 0.57 μB per atom. The energy relative to the elements, uncorrected is 0.158 eV per atom.

The space group is Imm2 (No. 44) and the conventional cell measures 3.077, 4.406 and 11.782 Å, with angles of 90.00, 90.00 and 90.00 degrees. Symmetry generates all atoms from Co at (0.000, 0.000, 0.000), Au at (0.000, 0.500, 0.309), Cl at (0.000, 0.000, 0.453) and Cl at (0.000, 0.500, 0.652).

no.,total energy (eV/atom)
1,-4.59
2,-3.36